Entry from Alexandria via LeMat-Bulk: an optimized crystal structure of Mg9Cd2Pb (PBE-GGA).

DFT formation energy	-0.065	eV/atom
N(E_F)	4.31	states/eV/cell
magnetic moment	0.00	Bohr magnetons per cell

a b c (Å): 4.514 4.514 13.341
angles (deg): 90.00 90.00 90.00
Element x y z (fractional)
Mg: 0.000 0.000 0.000
Mg: 0.000 0.000 0.337
Mg: 0.000 0.000 0.663
Mg: 0.000 0.500 0.175
Mg: 0.000 0.500 0.500
Mg: 0.000 0.500 0.825
Mg: 0.500 0.000 0.175
Mg: 0.500 0.000 0.500
Mg: 0.500 0.000 0.825
Cd: 0.500 0.500 0.337
Cd: 0.500 0.500 0.663
Pb: 0.500 0.500 0.000